No. 1
Compound: La3BeCrS7
Source: Alexandria via LeMat-Bulk
Functional: meta-GGA SCAN
Structure: single point on PBEsol structure

a = 5.975 Å, b = 10.170 Å, c = 10.170 Å
α = 120.00°, β = 90.00°, γ = 90.00°
Site moments in Bohr magnetons follow the coordinates.
Element x y z (fractional)
Be 0.161 0.333 0.667  0.00
Be 0.661 0.667 0.333  0.00
S 0.767 0.925 0.784  -0.02
S 0.267 0.075 0.216  -0.02
S 0.532 0.887 0.406  0.00
S 0.267 0.784 0.859  -0.02
S 0.767 0.859 0.075  -0.02
S 0.767 0.216 0.141  -0.02
S 0.032 0.481 0.887  0.00
S 0.013 0.667 0.333  0.00
S 0.513 0.333 0.667  0.00
S 0.032 0.406 0.519  0.00
S 0.532 0.519 0.113  0.00
S 0.032 0.113 0.594  0.00
S 0.267 0.141 0.925  -0.02
S 0.532 0.594 0.481  0.00
La 0.748 0.137 0.389  0.01
La 0.248 0.863 0.611  0.01
La 0.748 0.253 0.863  0.01
La 0.748 0.611 0.747  0.01
La 0.248 0.747 0.137  0.01
La 0.248 0.389 0.253  0.01
Cr 0.017 0.000 0.000  2.89
Cr 0.517 0.000 0.000  2.89

Space group: P6_3
ρ (g/cm3): 4.357
Formation energy from raw total energies (kJ/mol of atoms): -192.4



No. 2
Compound: LiV3O4
Source: Alexandria via LeMat-Bulk
Functional: meta-GGA SCAN
Structure: single point on PBEsol structure

a = 4.118 Å, b = 4.118 Å, c = 5.010 Å
α = 114.27°, β = 114.27°, γ = 90.00°
Site moments in Bohr magnetons follow the coordinates.
Element x y z (fractional)
V 0.250 0.750 0.500  2.13
V 0.750 0.250 0.500  2.13
V 0.500 0.500 0.000  -2.15
O 0.243 0.243 0.487  0.04
O 0.000 0.500 0.000  0.02
O 0.757 0.757 0.513  0.04
O 0.500 0.000 0.000  0.02
Li 0.000 0.000 0.000  0.00

Space group: I4/mmm
ρ (g/cm3): 5.374
Formation energy from raw total energies (kJ/mol of atoms): -233.9
DOS at the Fermi energy (states/eV per atom): 0.5559
Excess energy over the best structure of this formula in the dataset (eV per atom): 0.002



No. 3
Compound: EuAl2Ge2
Source: Alexandria via LeMat-Bulk
Functional: meta-GGA SCAN
Structure: single point on PBEsol structure

a = 4.205 Å, b = 4.205 Å, c = 6.992 Å
α = 90.00°, β = 90.00°, γ = 120.00°
Site moments in Bohr magnetons follow the coordinates.
Element x y z (fractional)
Ge 0.333 0.667 0.260  -0.05
Ge 0.667 0.333 0.740  -0.05
Al 0.667 0.333 0.367  0.00
Al 0.333 0.667 0.633  0.00
Eu 0.000 0.000 0.000  6.84

Space group: P-3m1
ρ (g/cm3): 5.447
E_form (meV/atom): -490
DOS at the Fermi energy (states/eV per atom): 1.3859



No. 4
Compound: BaSrAl3
Source: Alexandria via LeMat-Bulk
Functional: meta-GGA SCAN
Structure: single point on PBEsol structure

a = 5.726 Å, b = 5.726 Å, c = 5.726 Å
α = 90.00°, β = 90.00°, γ = 90.00°
Element x y z (fractional)
Ba 0.000 0.000 0.000
Al 0.000 0.500 0.000
Al 0.500 0.000 0.000
Al 0.000 0.000 0.500
Sr 0.500 0.500 0.500

Space group: Pm-3m
ρ (g/cm3): 2.706
E_form (meV/atom): 972
DOS at the Fermi energy (states/eV per atom): 1.1434



No. 5
Compound: KLa2
Source: Alexandria via LeMat-Bulk
Functional: meta-GGA SCAN
Structure: single point on PBEsol structure

a = 3.491 Å, b = 6.235 Å, c = 6.235 Å
α = 120.00°, β = 90.00°, γ = 90.00°
Element x y z (fractional)
La 0.260 0.667 0.333
La 0.740 0.333 0.667
K 0.000 0.000 0.000

Space group: P-3m1
ρ (g/cm3): 4.478
E_form (meV/atom): 403
DOS at the Fermi energy (states/eV per atom): 0.9862



No. 6
Compound: CaHgW2
Source: Alexandria via LeMat-Bulk
Functional: meta-GGA SCAN
Structure: single point on PBEsol structure

a = 3.924 Å, b = 3.924 Å, c = 4.839 Å
α = 90.00°, β = 90.00°, γ = 90.00°
Element x y z (fractional)
W 0.000 0.500 0.000
W 0.500 0.000 0.000
Ca 0.500 0.500 0.500
Hg 0.000 0.000 0.500

Space group: P4/mmm
ρ (g/cm3): 13.559
E_form (meV/atom): 835
DOS at the Fermi energy (states/eV per atom): 0.5993



no.,V (A^3/atom),final energy (eV/atom)
1,22.30,-20.282
2,8.64,-12.397
3,21.41,-21.968
4,37.54,-16.044
5,39.17,-31.110
6,18.63,-53.467